(a)
Here is a relaxed structure of PrH3Pd3 from Alexandria. Energies are from PBE-GGA.

Unit cell a=6.479 b=6.479 c=6.060 alpha=57.69 beta=57.69 gamma=60.00
Positions (direct):
Pd: 0.768 0.768 0.258
Pd: 0.232 0.795 0.742
Pd: 0.205 0.768 0.258
Pd: 0.795 0.232 0.742
Pd: 0.768 0.205 0.258
Pd: 0.232 0.232 0.742
H: 0.546 0.195 0.713
H: 0.195 0.546 0.713
H: 0.454 0.805 0.287
H: 0.546 0.546 0.713
H: 0.454 0.454 0.287
H: 0.805 0.454 0.287
Pr: 0.734 0.734 0.798
Pr: 0.266 0.266 0.202

## Properties
Magnetic moment in μB/cell: 0.0
DOS at the Fermi energy in states/eV/atom: 0.43

(b)
Here is a relaxed structure of PrH3Pd3 from Alexandria. Energies are from PBE-GGA.

Unit cell a=5.567 b=5.567 c=5.567 alpha=90.00 beta=90.00 gamma=90.00
Positions (direct):
H: 0.000 0.500 0.250
H: 0.250 0.000 0.500
H: 0.500 0.750 0.000
H: 0.750 0.000 0.500
H: 0.500 0.250 0.000
H: 0.000 0.500 0.750
Pr: 0.500 0.500 0.500
Pr: 0.000 0.000 0.000
Pd: 0.250 0.500 0.000
Pd: 0.500 0.000 0.250
Pd: 0.500 0.000 0.750
Pd: 0.000 0.250 0.500
Pd: 0.750 0.500 0.000
Pd: 0.000 0.750 0.500

## Properties
Magnetic moment in μB/cell: 0.0
DOS at the Fermi energy in states/eV/atom: 0.00

Which of them is least stable? Easy: (a).

(a)
Here is a relaxed structure of H2PdPt2 from Alexandria. Energies are from PBE-GGA.

Unit cell a=5.347 b=5.347 c=3.906 alpha=90.00 beta=90.00 gamma=90.00
Positions (direct):
H: 0.681 0.819 0.000
H: 0.819 0.319 0.000
H: 0.319 0.181 0.000
H: 0.181 0.681 0.000
Pt: 0.681 0.819 0.500
Pt: 0.319 0.181 0.500
Pt: 0.819 0.319 0.500
Pt: 0.181 0.681 0.500
Pd: 0.000 0.000 0.000
Pd: 0.500 0.500 0.000

## Properties
Magnetic moment in μB/cell: 0.0
DOS at the Fermi energy in states/eV/atom: 0.50

(b)
Here is a relaxed structure of H2PdPt2 from Alexandria. Energies are from PBE-GGA.

Unit cell a=3.486 b=3.486 c=5.035 alpha=69.75 beta=69.75 gamma=90.00
Positions (direct):
H: 0.750 0.250 0.500
H: 0.250 0.750 0.500
Pd: 0.000 0.000 0.000
Pt: 0.340 0.340 0.319
Pt: 0.660 0.660 0.681

## Properties
Magnetic moment in μB/cell: 0.0
DOS at the Fermi energy in states/eV/atom: 0.35

(c)
Here is a relaxed structure of H2PdPt2 from Alexandria. Energies are from PBE-GGA.

Unit cell a=6.754 b=6.754 c=2.778 alpha=90.00 beta=90.00 gamma=90.00
Positions (direct):
Pt: 0.862 0.638 0.000
Pt: 0.638 0.138 0.000
Pt: 0.362 0.862 0.000
Pt: 0.138 0.362 0.000
Pd: 0.500 0.500 0.000
Pd: 0.000 0.000 0.000
H: 0.256 0.756 0.500
H: 0.244 0.256 0.500
H: 0.744 0.244 0.500
H: 0.756 0.744 0.500

## Properties
Magnetic moment in μB/cell: 0.0
DOS at the Fermi energy in states/eV/atom: 0.63

Which of them is least stable? Easy: (c).

(a)
Here is a relaxed structure of H2PdPt2 from Alexandria. Energies are from PBE-GGA.

Unit cell a=5.332 b=5.517 c=5.517 alpha=92.40 beta=119.56 gamma=119.56
Positions (direct):
H: 0.712 0.103 0.274
H: 0.788 0.726 0.897
H: 0.212 0.274 0.103
H: 0.288 0.897 0.726
Pt: 0.000 0.000 0.500
Pt: 0.500 0.500 0.000
Pt: 0.000 0.500 0.500
Pt: 0.500 0.500 0.500
Pd: 0.750 0.167 0.833
Pd: 0.250 0.833 0.167

## Properties
Magnetic moment in μB/cell: 0.0
DOS at the Fermi energy in states/eV/atom: 0.47

(b)
Here is a relaxed structure of H2PdPt2 from Alexandria. Energies are from PBE-GGA.

Unit cell a=3.891 b=3.891 c=4.838 alpha=113.67 beta=113.67 gamma=89.98
Positions (direct):
H: 0.287 0.287 0.574
H: 0.713 0.713 0.426
Pt: 0.750 0.250 0.500
Pt: 0.250 0.750 0.500
Pd: 0.000 0.000 0.000

## Properties
Magnetic moment in μB/cell: 0.0
DOS at the Fermi energy in states/eV/atom: 1.05

Which of them is least stable? Easy: (b).

(a)
Here is a relaxed structure of HPdPt3 from Alexandria. Energies are from PBE-GGA.

Unit cell a=4.901 b=4.901 c=5.737 alpha=90.00 beta=90.00 gamma=71.08
Positions (direct):
H: 0.805 0.008 0.552
H: 0.755 0.958 0.052
Pt: 0.525 0.238 0.302
Pt: 0.525 0.727 0.052
Pt: 0.035 0.728 0.302
Pt: 0.036 0.238 0.552
Pt: 0.525 0.238 0.802
Pt: 0.035 0.728 0.802
Pd: 0.032 0.234 0.052
Pd: 0.529 0.731 0.552

## Properties
Magnetic moment in μB/cell: 0.0
DOS at the Fermi energy in states/eV/atom: 1.83

(b)
Here is a relaxed structure of HPdPt3 from Alexandria. Energies are from PBE-GGA.

Unit cell a=4.030 b=4.030 c=4.030 alpha=90.00 beta=90.00 gamma=90.00
Positions (direct):
Pt: 0.000 0.000 0.500
Pt: 0.000 0.500 0.000
Pt: 0.500 0.000 0.000
Pd: 0.500 0.500 0.500
H: 0.000 0.000 0.000

## Properties
Magnetic moment in μB/cell: 0.0
DOS at the Fermi energy in states/eV/atom: 1.96

Which of them is least stable? Easy: (b).

(a)
Here is a relaxed structure of HPdPt3 from Alexandria. Energies are from PBE-GGA.

Unit cell a=2.827 b=4.895 c=4.895 alpha=102.97 beta=90.00 gamma=90.00
Positions (direct):
H: 0.094 0.560 0.947
Pt: 0.594 0.227 0.280
Pt: 0.094 0.735 0.305
Pt: 0.094 0.201 0.771
Pd: 0.594 0.720 0.786

## Properties
Magnetic moment in μB/cell: 0.0
DOS at the Fermi energy in states/eV/atom: 1.53

(b)
Here is a relaxed structure of HPdPt3 from Alexandria. Energies are from PBE-GGA.

Unit cell a=4.877 b=4.877 c=4.877 alpha=90.00 beta=90.00 gamma=90.00
Each line ends with the local moment (μB).
Positions (direct):
Pt: 0.500 0.000 0.000  0.03
Pt: 0.000 0.000 0.500  0.28
Pt: 0.000 0.500 0.000  0.13
H: 0.500 0.500 0.500  0.31
Pd: 0.000 0.000 0.000  0.28

## Properties
Magnetic moment in μB/cell: 1.4
DOS at the Fermi energy in states/eV/atom: 2.15

Which of them is least stable? Easy: (b).

(a)
Here is a relaxed structure of H3PdPt from Alexandria. Energies are from PBE-GGA.

Unit cell a=2.792 b=5.199 c=6.945 alpha=90.00 beta=101.73 gamma=90.00
Positions (direct):
Pd: 0.079 0.750 0.157
Pd: 0.921 0.250 0.843
H: 0.813 0.750 0.630
H: 0.358 0.068 0.719
H: 0.642 0.568 0.281
H: 0.187 0.250 0.370
H: 0.358 0.432 0.719
H: 0.642 0.932 0.281
Pt: 0.609 0.250 0.215
Pt: 0.391 0.750 0.785

## Properties
Magnetic moment in μB/cell: 0.0
DOS at the Fermi energy in states/eV/atom: 0.25

(b)
Here is a relaxed structure of H3PdPt from Alexandria. Energies are from PBE-GGA.

Unit cell a=3.484 b=3.484 c=3.484 alpha=90.00 beta=90.00 gamma=90.00
Positions (direct):
H: 0.000 0.500 0.000
H: 0.000 0.000 0.500
H: 0.500 0.000 0.000
Pt: 0.500 0.500 0.500
Pd: 0.000 0.000 0.000

## Properties
Magnetic moment in μB/cell: 0.0
DOS at the Fermi energy in states/eV/atom: 0.25

Which of them is least stable? Easy: (b).

(a)
Here is a relaxed structure of H3PdPt from Alexandria. Energies are from PBE-GGA.

Unit cell a=5.012 b=6.217 c=6.439 alpha=123.18 beta=90.00 gamma=90.00
Positions (direct):
H: 0.101 0.853 0.039
H: 0.124 0.624 0.204
H: 0.601 0.647 0.461
H: 0.899 0.147 0.961
H: 0.431 0.277 0.123
H: 0.069 0.777 0.623
H: 0.624 0.876 0.296
H: 0.376 0.124 0.704
H: 0.876 0.376 0.796
H: 0.399 0.353 0.539
H: 0.931 0.223 0.377
H: 0.569 0.723 0.877
Pd: 0.745 0.017 0.640
Pd: 0.255 0.983 0.360
Pd: 0.245 0.483 0.860
Pd: 0.755 0.517 0.140
Pt: 0.754 0.983 0.110
Pt: 0.254 0.517 0.390
Pt: 0.746 0.483 0.610
Pt: 0.246 0.017 0.890

## Properties
Magnetic moment in μB/cell: 0.0
DOS at the Fermi energy in states/eV/atom: 0.19

(b)
Here is a relaxed structure of H3PdPt from Alexandria. Energies are from PBE-GGA.

Unit cell a=3.517 b=3.517 c=3.517 alpha=90.00 beta=90.00 gamma=90.00
Positions (direct):
Pt: 0.000 0.000 0.000
H: 0.000 0.500 0.000
H: 0.000 0.000 0.500
H: 0.500 0.000 0.000
Pd: 0.500 0.500 0.500

## Properties
Magnetic moment in μB/cell: 0.0
DOS at the Fermi energy in states/eV/atom: 0.27

Which of them is least stable? Easy: (b).

(a)
Here is a relaxed structure of H6Pd5Pt from Alexandria. Energies are from PBE-GGA.

Unit cell a=5.115 b=5.071 c=5.073 alpha=118.56 beta=84.60 gamma=84.62
Positions (direct):
H: 0.352 0.180 0.525
H: 0.648 0.820 0.475
H: 0.871 0.337 0.338
H: 0.352 0.525 0.180
H: 0.648 0.475 0.820
H: 0.129 0.663 0.662
Pd: 0.000 0.672 0.328
Pd: 0.500 0.161 0.839
Pd: 0.500 0.839 0.161
Pd: 0.000 0.328 0.672
Pd: 0.500 0.500 0.500
Pt: 0.000 0.000 0.000

## Properties
Magnetic moment in μB/cell: 0.0
DOS at the Fermi energy in states/eV/atom: 0.21

(b)
Here is a relaxed structure of H6Pd5Pt from Alexandria. Energies are from PBE-GGA.

Unit cell a=5.163 b=5.142 c=5.050 alpha=59.40 beta=79.52 gamma=69.07
Positions (direct):
Pd: 0.500 0.500 0.000
Pd: 0.500 0.168 0.663
Pd: 0.000 0.334 0.332
Pd: 0.500 0.832 0.337
Pd: 0.000 0.666 0.668
Pt: 0.000 0.000 0.000
H: 0.187 0.256 0.000
H: 0.733 0.376 0.699
H: 0.813 0.744 0.000
H: 0.733 0.076 0.301
H: 0.267 0.924 0.699
H: 0.267 0.624 0.301

## Properties
Magnetic moment in μB/cell: 0.0
DOS at the Fermi energy in states/eV/atom: 0.20

Which of them is least stable? Easy: (b).

(a)
Here is a relaxed structure of H2PdPt from Alexandria. Energies are from PBE-GGA.

Unit cell a=4.231 b=4.231 c=5.260 alpha=66.29 beta=66.29 gamma=90.00
Positions (direct):
Pt: 0.750 0.250 0.500
Pt: 0.000 0.000 0.000
H: 0.637 0.125 0.250
H: 0.113 0.625 0.250
H: 0.375 0.363 0.750
H: 0.875 0.887 0.750
Pd: 0.500 0.500 0.000
Pd: 0.250 0.750 0.500

## Properties
Magnetic moment in μB/cell: 0.0
DOS at the Fermi energy in states/eV/atom: 0.25

(b)
Here is a relaxed structure of H2PdPt from Alexandria. Energies are from PBE-GGA.

Unit cell a=3.788 b=3.788 c=3.788 alpha=60.00 beta=60.00 gamma=60.00
Positions (direct):
Pd: 0.000 0.000 0.000
H: 0.250 0.250 0.250
H: 0.750 0.750 0.750
Pt: 0.500 0.500 0.500

## Properties
Magnetic moment in μB/cell: 0.0
DOS at the Fermi energy in states/eV/atom: 0.49

Which of them is least stable? Easy: (b).

(a)
Here is a relaxed structure of HPd2Pt from Alexandria. Energies are from PBE-GGA.

Unit cell a=2.818 b=2.818 c=7.239 alpha=78.78 beta=78.78 gamma=60.00
Positions (direct):
Pd: 0.724 0.724 0.829
Pd: 0.276 0.276 0.171
H: 0.000 0.000 0.000
Pt: 0.500 0.500 0.500

## Properties
Magnetic moment in μB/cell: 0.0
DOS at the Fermi energy in states/eV/atom: 1.45

(b)
Here is a relaxed structure of HPd2Pt from Alexandria. Energies are from PBE-GGA.

Unit cell a=4.283 b=4.283 c=4.283 alpha=60.00 beta=60.00 gamma=60.00
Positions (direct):
H: 0.000 0.000 0.000
Pd: 0.250 0.250 0.250
Pd: 0.750 0.750 0.750
Pt: 0.500 0.500 0.500

## Properties
Magnetic moment in μB/cell: 0.0
DOS at the Fermi energy in states/eV/atom: 1.43

(c)
Here is a relaxed structure of HPd2Pt from Alexandria. Energies are from PBE-GGA.

Unit cell a=2.712 b=2.712 c=6.821 alpha=90.00 beta=90.00 gamma=90.00
Positions (direct):
H: 0.500 0.500 0.000
Pd: 0.000 0.000 0.806
Pd: 0.000 0.000 0.194
Pt: 0.500 0.500 0.500

## Properties
Magnetic moment in μB/cell: 0.0
DOS at the Fermi energy in states/eV/atom: 1.35

(d)
Here is a relaxed structure of HPd2Pt from Alexandria. Energies are from PBE-GGA.

Unit cell a=2.806 b=2.806 c=7.681 alpha=73.48 beta=73.48 gamma=60.40
Positions (direct):
H: 0.536 0.536 0.215
Pt: 0.751 0.751 0.760
Pd: 0.280 0.280 0.440
Pd: 0.933 0.933 0.085

## Properties
Magnetic moment in μB/cell: 0.0
DOS at the Fermi energy in states/eV/atom: 1.34

Which of them is least stable? Easy: (b).